A plane-wave DFT calculation with PBE was carried out for a relaxed structure of Li2Hf2AlGaPt2.

Output
Space-group type ... No. 115
E_tot ... -6.181 eV/atom

a b c (Å): 4.457 4.457 6.306
angles (deg): 90.00 90.00 90.00
Fractional coordinates of all 8 atoms:
Al1 0.000 0.000 0.000
Ga1 0.500 0.500 0.500
Hf1 0.500 0.500 0.000
Hf2 0.000 0.000 0.500
Li1 0.500 0.000 0.251
Li2 0.000 0.500 0.749
Pt1 0.000 0.500 0.245
Pt2 0.500 0.000 0.755

---

A plane-wave DFT calculation with PBE was carried out for a relaxed structure of PrTlCdSe3.

Output
Space-group type ... No. 62
E_tot ... -4.156 eV/atom
ΔE to the lowest computed polymorph ... 0.000 eV per formula unit

a b c (Å): 11.477 4.364 14.501
angles (deg): 90.00 90.00 90.00
Fractional coordinates of all 24 atoms:
Cd1 0.760 0.250 0.215
Cd2 0.260 0.250 0.285
Cd3 0.740 0.750 0.715
Cd4 0.240 0.750 0.785
Pr1 0.511 0.750 0.242
Pr2 0.011 0.750 0.258
Pr3 0.989 0.250 0.742
Pr4 0.489 0.250 0.758
Se1 0.573 0.250 0.110
Se2 0.957 0.250 0.120
Se3 0.258 0.750 0.174
Se4 0.758 0.750 0.326
Se5 0.457 0.250 0.380
Se6 0.073 0.250 0.390
Se7 0.927 0.750 0.610
Se8 0.543 0.750 0.620
Se9 0.242 0.250 0.674
Se10 0.742 0.250 0.826
Se11 0.043 0.750 0.880
Se12 0.427 0.750 0.890
Tl1 0.780 0.750 0.001
Tl2 0.280 0.750 0.499
Tl3 0.720 0.250 0.501
Tl4 0.220 0.250 0.999

---

A plane-wave DFT calculation with PBE was carried out for a relaxed structure of ScZn2Ge.

Output
Space-group type ... No. 216
E_tot ... -3.534 eV/atom

a b c (Å): 4.619 4.619 4.619
angles (deg): 60.00 60.00 60.00
Fractional coordinates of all 4 atoms:
Ge1 0.000 0.000 0.000
Sc1 0.250 0.250 0.250
Zn1 0.500 0.500 0.500
Zn2 0.750 0.750 0.750